(1)
Crystalline TbSm2Cl8 at its relaxed geometry, computed with PBE-GGA.

## Properties
- VASP energy (eV/atom) = -4.70

Unit cell a=6.5860 b=7.6677 c=7.6677 alpha=62.60 beta=103.87 gamma=103.87
Element x y z (fractional)
Tb1 0.0000 0.0000 0.0000
Sm1 0.4980 0.2639 0.2639
Sm2 0.5020 0.7361 0.7361
Cl1 0.7516 0.1136 0.6383
Cl2 0.2484 0.3617 0.8864
Cl3 0.7506 0.1241 0.1241
Cl4 0.2494 0.8759 0.8759
Cl5 0.7516 0.6383 0.1136
Cl6 0.2484 0.8864 0.3617
Cl7 0.2440 0.3768 0.3768
Cl8 0.7560 0.6232 0.6232

=====

(2)
Crystalline TbSm2Cl at its relaxed geometry, computed with PBE-GGA.

## Properties
- VASP energy (eV/atom) = -4.64

Unit cell a=3.6466 b=3.6466 c=10.3845 alpha=79.89 beta=79.89 gamma=60.00
Element x y z (fractional)
Tb1 0.5000 0.5000 0.5000
Sm1 0.7395 0.7395 0.7815
Sm2 0.2605 0.2605 0.2185
Cl1 0.0000 0.0000 0.0000

=====

(3)
Crystalline TbSmCl6 at its relaxed geometry, computed with PBE-GGA.

## Properties
- energy above the lowest structure with this stoichiometry (meV/atom) = 2
- VASP energy (eV/atom) = -4.80

Unit cell a=6.7639 b=6.7639 c=12.4465 alpha=90.00 beta=90.00 gamma=120.00
Element x y z (fractional)
Tb1 0.3333 0.6667 0.2500
Tb2 0.6667 0.3333 0.7500
Sm1 0.0000 0.0000 0.5000
Sm2 0.0000 0.0000 0.0000
Cl1 0.3205 0.3385 0.3744
Cl2 0.6795 0.6615 0.6256
Cl3 0.0180 0.6795 0.3744
Cl4 0.3205 0.9820 0.1256
Cl5 0.9820 0.3205 0.6256
Cl6 0.6795 0.0180 0.8744
Cl7 0.6615 0.9820 0.3744
Cl8 0.0180 0.3385 0.1256
Cl9 0.3385 0.0180 0.6256
Cl10 0.9820 0.6615 0.8744
Cl11 0.6615 0.6795 0.1256
Cl12 0.3385 0.3205 0.8744

=====

(4)
Crystalline SmTcCl at its relaxed geometry, computed with PBE-GGA.

## Properties
- VASP energy (eV/atom) = -6.70

Unit cell a=4.0829 b=4.0829 c=11.5447 alpha=79.81 beta=79.81 gamma=60.00
Element x y z (fractional)
Sm1 0.4339 0.4339 0.6983
Sm2 0.5661 0.5661 0.3017
Tc1 0.1607 0.1607 0.5179
Tc2 0.8393 0.8393 0.4821
Cl1 0.7176 0.7176 0.8473
Cl2 0.2824 0.2824 0.1527

=====

(5)
Crystalline Sm4TcCl5 at its relaxed geometry, computed with PBE-GGA.

## Properties
- VASP energy (eV/atom) = -5.36

Unit cell a=3.8209 b=9.1694 c=9.1922 alpha=106.61 beta=102.00 gamma=90.00
Element x y z (fractional)
Sm1 0.3511 0.9168 0.7022
Sm2 0.9952 0.7542 0.9903
Sm3 0.6489 0.0832 0.2978
Sm4 0.0048 0.2458 0.0097
Tc1 0.5000 0.0000 0.0000
Cl1 0.8298 0.6793 0.6596
Cl2 0.8315 0.1390 0.6630
Cl3 0.1685 0.8610 0.3370
Cl4 0.5000 0.5000 0.0000
Cl5 0.1702 0.3207 0.3404

=====

(6)
Crystalline SmTcCl at its relaxed geometry, computed with PBE-GGA.

## Properties
- VASP energy (eV/atom) = -6.70

Unit cell a=4.0814 b=4.0814 c=11.5558 alpha=88.35 beta=88.35 gamma=60.01
Element x y z (fractional)
Sm1 0.9895 0.9895 0.6941
Sm2 0.0105 0.0105 0.3059
Tc1 0.6657 0.6657 0.5175
Tc2 0.3343 0.3343 0.4825
Cl1 0.6852 0.6852 0.1600
Cl2 0.3148 0.3148 0.8400

=====

(7)
Crystalline Sm5Tc2Cl2 at its relaxed geometry, computed with PBE-GGA.

## Properties
- VASP energy (eV/atom) = -5.89

Unit cell a=7.7233 b=7.7096 c=9.2561 alpha=90.00 beta=65.34 gamma=90.00
Element x y z (fractional)
Sm1 0.0000 0.0000 0.0000
Sm2 0.5000 0.5000 0.0000
Sm3 0.4430 0.1715 0.7658
Sm4 0.7912 0.8285 0.7658
Sm5 0.2912 0.6715 0.7658
Sm6 0.9430 0.3285 0.7658
Sm7 0.5570 0.8285 0.2342
Sm8 0.2088 0.1715 0.2342
Sm9 0.7088 0.3285 0.2342
Sm10 0.0570 0.6715 0.2342
Tc1 0.1150 0.3865 0.0000
Tc2 0.8850 0.6135 0.0000
Tc3 0.3850 0.8865 0.0000
Tc4 0.6150 0.1135 0.0000
Cl1 0.2397 0.0000 0.5207
Cl2 0.7397 0.5000 0.5207
Cl3 0.7603 0.0000 0.4793
Cl4 0.2603 0.5000 0.4793

=====

(8)
Crystalline SmThTcCl at its relaxed geometry, computed with PBE-GGA.

## Properties
- VASP energy (eV/atom) = -6.70

Unit cell a=4.0913 b=4.0887 c=7.9545 alpha=90.00 beta=104.92 gamma=119.98
Element x y z (fractional)
Sm1 0.4963 0.1460 0.6578
Th1 0.0915 0.9435 0.0514
Tc1 0.3178 0.5567 0.8891
Cl1 0.9724 0.3846 0.3714

=====

(9)
Crystalline Sm2TeCl at its relaxed geometry, computed with PBE-GGA.

## Properties
- energy above the lowest structure with this stoichiometry (meV/atom) = 0
- VASP energy (eV/atom) = -4.90

Unit cell a=4.3012 b=4.3012 c=7.2042 alpha=72.63 beta=72.63 gamma=60.00
Element x y z (fractional)
Te1 0.5000 0.5000 0.5000
Sm1 0.2633 0.2633 0.2102
Sm2 0.7367 0.7367 0.7898
Cl1 0.0000 0.0000 0.0000

=====

(10)
Crystalline Sm5Te4Cl at its relaxed geometry, computed with PBE-GGA.

## Properties
- VASP energy (eV/atom) = -5.14

Unit cell a=4.3869 b=4.3869 c=17.8680 alpha=82.95 beta=82.95 gamma=60.00
Element x y z (fractional)
Sm1 0.4028 0.4028 0.7915
Sm2 0.0000 0.0000 0.0000
Sm3 0.5972 0.5972 0.2085
Sm4 0.8062 0.8062 0.5815
Sm5 0.1938 0.1938 0.4185
Te1 0.8952 0.8952 0.3144
Te2 0.2986 0.2986 0.1043
Te3 0.7014 0.7014 0.8957
Te4 0.1048 0.1048 0.6856
Cl1 0.5000 0.5000 0.5000

=====

(11)
Crystalline Sm2TeCl at its relaxed geometry, computed with PBE-GGA.

## Properties
- energy above the lowest structure with this stoichiometry (meV/atom) = 34
- VASP energy (eV/atom) = -4.86

Unit cell a=5.2514 b=5.2514 c=5.2514 alpha=60.00 beta=60.00 gamma=60.00
Element x y z (fractional)
Te1 0.5000 0.5000 0.5000
Sm1 0.2500 0.2500 0.2500
Sm2 0.7500 0.7500 0.7500
Cl1 0.0000 0.0000 0.0000

=====

(12)
Crystalline Sm2TeCl at its relaxed geometry, computed with PBE-GGA.

## Properties
- energy above the lowest structure with this stoichiometry (meV/atom) = 49
- VASP energy (eV/atom) = -4.85

Unit cell a=3.9340 b=3.9340 c=8.5362 alpha=76.68 beta=76.68 gamma=60.00
Element x y z (fractional)
Sm1 0.0852 0.0852 0.7444
Sm2 0.2481 0.2481 0.2558
Te1 0.6662 0.6662 0.0013
Cl1 0.5005 0.5005 0.4984

=====

(13)
Crystalline Sm3TlTeCl at its relaxed geometry, computed with PBE-GGA.

## Properties
- VASP energy (eV/atom) = -4.63

Unit cell a=4.1569 b=9.1822 c=11.8769 alpha=124.94 beta=90.00 gamma=90.00
Element x y z (fractional)
Sm1 0.7500 0.9392 0.0925
Sm2 0.2500 0.0608 0.9075
Sm3 0.2500 0.6806 0.5205
Sm4 0.7500 0.3194 0.4795
Sm5 0.7500 0.5061 0.1718
Sm6 0.2500 0.4939 0.8282
Tl1 0.2500 0.2908 0.2433
Tl2 0.7500 0.7092 0.7567
Te1 0.2500 0.7458 0.1539
Te2 0.7500 0.2542 0.8461
Cl1 0.2500 0.1852 0.5485
Cl2 0.7500 0.8148 0.4515

=====

(14)
Crystalline Sm4ZnTe2Cl at its relaxed geometry, computed with PBE-GGA.

## Properties
- VASP energy (eV/atom) = -4.65

Unit cell a=4.2042 b=7.4351 c=7.6203 alpha=108.25 beta=90.00 gamma=90.00
Element x y z (fractional)
Sm1 0.5000 0.2529 0.2289
Sm2 0.5000 0.7471 0.7711
Sm3 0.0000 0.2636 0.7701
Sm4 0.0000 0.7364 0.2299
Zn1 0.5000 0.5000 0.0000
Te1 0.5000 0.0000 0.5000
Te2 0.0000 0.5000 0.5000
Cl1 0.0000 0.0000 0.0000

=====

(15)
Crystalline Sm2ThCl at its relaxed geometry, computed with PBE-GGA.

## Properties
- VASP energy (eV/atom) = -5.37

Unit cell a=3.6909 b=3.6909 c=10.1429 alpha=79.52 beta=79.52 gamma=60.00
Element x y z (fractional)
Sm1 0.7403 0.7403 0.7791
Sm2 0.2597 0.2597 0.2209
Th1 0.5000 0.5000 0.5000
Cl1 0.0000 0.0000 0.0000

=====

(16)
Crystalline Sm3ThCl at its relaxed geometry, computed with PBE-GGA.

## Properties
- VASP energy (eV/atom) = -5.09

Unit cell a=5.3938 b=5.3938 c=5.3938 alpha=90.00 beta=90.00 gamma=90.00
Element x y z (fractional)
Sm1 0.0000 0.5000 0.0000
Sm2 0.0000 0.0000 0.5000
Sm3 0.5000 0.0000 0.0000
Th1 0.5000 0.5000 0.5000
Cl1 0.0000 0.0000 0.0000

=====

(17)
Crystalline SmTiCl at its relaxed geometry, computed with PBE-GGA.

## Properties
- VASP energy (eV/atom) = -5.22

Unit cell a=3.3201 b=3.3201 c=13.9152 alpha=83.07 beta=83.07 gamma=59.99
Element x y z (fractional)
Ti1 0.8674 0.8674 0.8472
Ti2 0.9539 0.9539 0.5918
Sm1 0.3950 0.3950 0.2605
Sm2 0.1386 0.1386 0.0299
Cl1 0.3272 0.3272 0.4732
Cl2 0.5774 0.5774 0.7195

=====

(18)
Crystalline SmTl5Cl8 at its relaxed geometry, computed with PBE-GGA.

## Properties
- VASP energy (eV/atom) = -3.61

Unit cell a=8.1960 b=8.1960 c=8.1960 alpha=110.49 beta=110.49 gamma=107.46
Element x y z (fractional)
Sm1 0.2500 0.7500 0.5000
Tl1 0.8732 0.2527 0.8614
Tl2 0.7473 0.6087 0.6206
Tl3 0.3913 0.0119 0.1386
Tl4 0.5000 0.5000 0.0000
Tl5 0.9881 0.1268 0.3794
Cl1 0.0393 0.7483 0.1446
Cl2 0.2517 0.3964 0.2910
Cl3 0.5648 0.8351 0.3954
Cl4 0.1649 0.5604 0.7297
Cl5 0.8306 0.4352 0.2703
Cl6 0.1053 0.9607 0.7090
Cl7 0.6036 0.8947 0.8554
Cl8 0.4396 0.1694 0.6046

=====

(19)
Crystalline SmTl4Cl7 at its relaxed geometry, computed with PBE-GGA.

## Properties
- VASP energy (eV/atom) = -3.68

Unit cell a=5.3418 b=7.6352 c=11.5020 alpha=111.63 beta=103.43 gamma=90.00
Element x y z (fractional)
Sm1 0.0000 0.0000 0.0000
Tl1 0.4128 0.4571 0.8257
Tl2 0.5872 0.5429 0.1743
Tl3 0.3018 0.8496 0.6037
Tl4 0.6982 0.1504 0.3963
Cl1 0.1084 0.3197 0.2169
Cl2 0.8916 0.6803 0.7831
Cl3 0.9239 0.2022 0.8479
Cl4 0.0761 0.7978 0.1521
Cl5 0.7227 0.7843 0.4454
Cl6 0.5000 0.0000 0.0000
Cl7 0.2773 0.2157 0.5546

=====

(20)
Crystalline SmTlCl2 at its relaxed geometry, computed with PBE-GGA.

## Properties
- VASP energy (eV/atom) = -4.06

Unit cell a=3.6481 b=3.6481 c=10.6358 alpha=80.12 beta=80.12 gamma=60.00
Element x y z (fractional)
Tl1 0.0000 0.0000 0.0000
Sm1 0.5000 0.5000 0.5000
Cl1 0.1064 0.1064 0.6807
Cl2 0.8936 0.8936 0.3193

=====

Energy relative to the elements, uncorrected for the records above, in order: -200.5, -64.3, -216.7, -102.0, -146.4, -102.0, -53.2, -59.1, -124.4, -129.4, -121.1, -119.6, -101.0, -107.1, -67.2, -39.0, -38.9, -132.1, -137.0, -131.8 kJ per mole of atoms